The following is a DFT calculation (PBE) of an optimized crystal structure of YGe2W2.

abc: 3.9963 3.9963 11.6618
angles: 90.00 90.00 90.00
Space group I4/mmm (No. 139)
Symmetry-distinct sites (fractional):
Y 0.0000 0.0000 0.0000 [2 per cell]
Ge 0.0000 0.0000 0.3925 [4 per cell]
W 0.0000 0.5000 0.2500 [4 per cell]

Energy ... -8.508 eV/atom
Density ... 10.7 Mg/m³

The following is a DFT calculation (PBE) of an optimized crystal structure of Zn2GeW.

abc: 6.2602 6.2602 6.2602
angles: 90.00 90.00 90.00
Space group F-43m (No. 216)
Symmetry-distinct sites (fractional):
Zn 0.0000 0.0000 0.0000 [4 per cell]
Zn 0.2500 0.2500 0.2500 [4 per cell]
Ge 0.0000 0.0000 0.5000 [4 per cell]
W 0.2500 0.2500 0.7500 [4 per cell]

Energy ... -4.463 eV/atom
Density ... 10.5 Mg/m³

The following is a DFT calculation (PBE) of an optimized crystal structure of ZrGeW.

abc: 6.1813 6.1813 6.1813
angles: 90.00 90.00 90.00
Space group F-43m (No. 216)
Symmetry-distinct sites (fractional):
Zr 0.0000 0.0000 0.0000 [4 per cell]
Ge 0.2500 0.2500 0.7500 [4 per cell]
W 0.0000 0.0000 0.5000 [4 per cell]

Energy ... -8.487 eV/atom
Density ... 9.8 Mg/m³

The following is a DFT calculation (PBE) of an optimized crystal structure of ZrGeW.

abc: 7.1739 7.1739 3.5602
angles: 90.00 90.00 120.00
Space group P-62m (No. 189)
Symmetry-distinct sites (fractional):
Zr 0.0000 0.6011 0.0000 [3 per cell]
Ge 0.0000 0.0000 0.0000 [1 per cell]
Ge 0.3333 0.6667 0.5000 [2 per cell]
W 0.0000 0.2573 0.5000 [3 per cell]

Energy ... -9.058 eV/atom
Density ... 10.9 Mg/m³

The following is a DFT calculation (PBE) of an optimized crystal structure of ZrGe2W.

abc: 6.5973 6.5973 6.5973
angles: 90.00 90.00 90.00
Space group F-43m (No. 216)
Symmetry-distinct sites (fractional):
Zr 0.0000 0.0000 0.0000 [4 per cell]
Ge 0.0000 0.0000 0.5000 [4 per cell]
Ge 0.2500 0.2500 0.2500 [4 per cell]
W 0.2500 0.2500 0.7500 [4 per cell]

Energy ... -7.365 eV/atom
Density ... 9.7 Mg/m³

The following is a DFT calculation (PBE) of an optimized crystal structure of YZnGe2.

abc: 6.9266 6.9266 6.9266
angles: 90.00 90.00 90.00
Space group F-43m (No. 216)
Symmetry-distinct sites (fractional):
Y 0.0000 0.0000 0.0000 [4 per cell]
Zn 0.2500 0.2500 0.7500 [4 per cell]
Ge 0.0000 0.0000 0.5000 [4 per cell]
Ge 0.2500 0.2500 0.2500 [4 per cell]

Energy ... -4.361 eV/atom
Density ... 6.0 Mg/m³

The following is a DFT calculation (PBE) of an optimized crystal structure of YZnGe2.

abc: 6.9301 6.9301 6.9301
angles: 90.00 90.00 90.00
Space group F-43m (No. 216)
Symmetry-distinct sites (fractional):
Y 0.0000 0.0000 0.0000 [4 per cell]
Zn 0.2500 0.2500 0.2500 [4 per cell]
Ge 0.0000 0.0000 0.5000 [4 per cell]
Ge 0.2500 0.2500 0.7500 [4 per cell]

Energy ... -4.361 eV/atom
Density ... 6.0 Mg/m³

The following is a DFT calculation (PBE) of an optimized crystal structure of YZr2Ge.

abc: 7.0809 7.0809 7.0809
angles: 90.00 90.00 90.00
Space group F-43m (No. 216)
Symmetry-distinct sites (fractional):
Y 0.0000 0.0000 0.0000 [4 per cell]
Zr 0.0000 0.0000 0.5000 [4 per cell]
Zr 0.2500 0.2500 0.2500 [4 per cell]
Ge 0.2500 0.2500 0.7500 [4 per cell]

Energy ... -7.150 eV/atom
Density ... 6.4 Mg/m³

The following is a DFT calculation (PBE) of an optimized crystal structure of Y2ZrGe.

abc: 7.2167 7.2167 7.2167
angles: 90.00 90.00 90.00
Space group F-43m (No. 216)
Symmetry-distinct sites (fractional):
Y 0.0000 0.0000 0.0000 [4 per cell]
Y 0.2500 0.2500 0.2500 [4 per cell]
Zr 0.2500 0.2500 0.7500 [4 per cell]
Ge 0.0000 0.0000 0.5000 [4 per cell]

Energy ... -6.581 eV/atom
Density ... 6.0 Mg/m³

The following is a DFT calculation (PBE) of an optimized crystal structure of ZnGe2.

abc: 10.8202 10.8202 10.8202
angles: 90.00 90.00 90.00
Space group Fd-3m (No. 227, origin choice 2)
Symmetry-distinct sites (fractional):
Zn 0.1250 0.1250 0.1250 [8 per cell]
Ge 0.0000 0.0000 0.0000 [16 per cell]

Energy ... -2.263 eV/atom
Density ... 2.2 Mg/m³

The following is a DFT calculation (PBE) of an optimized crystal structure of ZnGe2.

abc: 6.1375 4.0516 8.8968
angles: 90.00 90.00 90.00
Space group Pnma (No. 62)
Symmetry-distinct sites (fractional):
Zn 0.2390 0.2500 0.1126 [4 per cell]
Ge 0.0482 0.2500 0.8035 [4 per cell]
Ge 0.1840 0.2500 0.4219 [4 per cell]

Energy ... -3.249 eV/atom
Density ... 6.3 Mg/m³

The following is a DFT calculation (PBE) of an optimized crystal structure of ZnGe2.

abc: 7.7946 7.7946 7.7946
angles: 90.00 90.00 90.00
Space group Fd-3m (No. 227, origin choice 2)
Symmetry-distinct sites (fractional):
Zn 0.1250 0.1250 0.1250 [8 per cell]
Ge 0.0000 0.0000 0.5000 [16 per cell]

Energy ... -3.096 eV/atom
Density ... 5.9 Mg/m³

The following is a DFT calculation (PBE) of an optimized crystal structure of ZrZn2Ge.

abc: 6.5617 6.5617 6.5617
angles: 90.00 90.00 90.00
Space group F-43m (No. 216)
Symmetry-distinct sites (fractional):
Zr 0.0000 0.0000 0.0000 [4 per cell]
Zn 0.0000 0.0000 0.5000 [4 per cell]
Zn 0.2500 0.2500 0.2500 [4 per cell]
Ge 0.2500 0.2500 0.7500 [4 per cell]

Energy ... -3.918 eV/atom
Density ... 6.9 Mg/m³

The following is a DFT calculation (PBE) of an optimized crystal structure of Zr2Zn4Ge.

abc: 5.8753 11.5088 3.9513
angles: 90.00 91.34 90.00
Space group C2/m (No. 12)
Symmetry-distinct sites (fractional):
Zr 0.2500 0.2500 0.0000 [4 per cell]
Zn 0.0000 0.1204 0.5000 [4 per cell]
Zn 0.2155 0.0000 0.9950 [4 per cell]
Ge 0.0000 0.5000 0.5000 [2 per cell]

Energy ... -3.666 eV/atom
Density ... 6.4 Mg/m³

The following is a DFT calculation (PBE) of an optimized crystal structure of ZrGe.

abc: 4.9732 12.5962 5.2774
angles: 90.00 90.00 90.00
Space group Pmmn (No. 59, origin choice 2)
Symmetry-distinct sites (fractional):
Zr 0.2500 0.0196 0.1544 [4 per cell]
Zr 0.2500 0.1379 0.6364 [4 per cell]
Ge 0.2500 0.2500 0.1246 [2 per cell]
Ge 0.2500 0.5887 0.6651 [4 per cell]
Ge 0.2500 0.7500 0.2847 [2 per cell]

Energy ... -6.850 eV/atom
Density ... 6.6 Mg/m³

The following is a DFT calculation (PBE) of an optimized crystal structure of ZrGe.

abc: 5.4793 5.4793 5.4793
angles: 90.00 90.00 90.00
Space group Fm-3m (No. 225)
Symmetry-distinct sites (fractional):
Zr 0.0000 0.0000 0.0000 [4 per cell]
Ge 0.0000 0.0000 0.5000 [4 per cell]

Energy ... -7.328 eV/atom
Density ... 6.6 Mg/m³

The following is a DFT calculation (PBE) of an optimized crystal structure of ZrGe.

abc: 5.0915 8.7716 5.3589
angles: 90.00 90.00 90.00
Space group Pmc2_1 (No. 26)
Symmetry-distinct sites (fractional):
Zr 0.0000 0.0814 0.0000 [2 per cell]
Zr 0.0000 0.4143 0.9780 [2 per cell]
Zr 0.5000 0.3771 0.4733 [2 per cell]
Ge 0.0000 0.2594 0.4835 [2 per cell]
Ge 0.5000 0.0058 0.7469 [2 per cell]
Ge 0.5000 0.2887 0.9757 [2 per cell]

Energy ... -6.998 eV/atom
Density ... 6.8 Mg/m³

The following is a DFT calculation (PBE) of an optimized crystal structure of Zr2Ge.

abc: 7.9345 4.9248 13.3965
angles: 90.00 100.96 90.00
Space group P2_1/m (No. 11)
Symmetry-distinct sites (fractional):
Zr 0.0205 0.2500 0.4294 [2 per cell]
Zr 0.0538 0.2500 0.1945 [2 per cell]
Zr 0.0930 0.7500 0.0599 [2 per cell]
Zr 0.1830 0.7500 0.2994 [2 per cell]
Zr 0.2124 0.2500 0.8297 [2 per cell]
Zr 0.3321 0.7500 0.5000 [2 per cell]
Zr 0.3532 0.2500 0.6324 [2 per cell]
Zr 0.3990 0.7500 0.9507 [2 per cell]
Ge 0.2594 0.2500 0.0428 [2 per cell]
Ge 0.2714 0.7500 0.7273 [2 per cell]
Ge 0.3485 0.2500 0.3760 [2 per cell]
Ge 0.4328 0.7500 0.1672 [2 per cell]

Energy ... -7.501 eV/atom
Density ... 6.6 Mg/m³

The following is a DFT calculation (PBE) of an optimized crystal structure of ZrGe.

abc: 5.5950 4.9380 5.5668
angles: 90.00 90.00 90.00
Space group Pnma (No. 62)
Symmetry-distinct sites (fractional):
Zr 0.1229 0.2500 0.1260 [4 per cell]
Ge 0.1005 0.2500 0.6261 [4 per cell]

Energy ... -7.108 eV/atom
Density ... 7.1 Mg/m³

The following is a DFT calculation (PBE) of an optimized crystal structure of ZrGe.

abc: 5.0051 5.5500 11.3469
angles: 90.00 90.00 90.00
Space group Pmmn (No. 59, origin choice 2)
Symmetry-distinct sites (fractional):
Zr 0.2500 0.0029 0.0777 [4 per cell]
Zr 0.2500 0.7500 0.3363 [2 per cell]
Zr 0.2500 0.7500 0.7811 [2 per cell]
Ge 0.2500 0.0077 0.5567 [4 per cell]
Ge 0.2500 0.2500 0.3033 [2 per cell]
Ge 0.2500 0.2500 0.8497 [2 per cell]

Energy ... -6.985 eV/atom
Density ... 6.9 Mg/m³